4
Lattice="2.810 0.000 0.000 -1.405 2.434 0.000 0.000 0.000 9.435" Properties=species:S:1:pos:R:3 comment="TcAu | the Alexandria database | PBE | relaxed" de_polymorph_mev_per_atom=343.6 ef_ev_per_atom=0.424 n_ef_per_ev_fu=2.142 vol_a3_per_cell=64.5 m_tot_mub_per_fu=0.00 pbc="T T T"
Au 0.000 0.000 0.000
Au 0.000 0.000 4.717
Tc 0.000 1.622 2.359
Tc 1.405 0.811 7.076

4
Lattice="2.659 -0.009 0.000 -0.950 2.484 0.000 0.000 0.000 8.584" Properties=species:S:1:pos:R:3 comment="CrReTc2 | the Alexandria database | PBE | relaxed" ef_ev_per_atom=0.207 n_ef_per_ev_fu=4.705 vol_a3_per_cell=56.6 m_tot_mub_per_fu=0.00 pbc="T T T"
Cr 0.854 1.237 2.146
Re 0.854 1.237 6.438
Tc 0.000 0.000 0.120
Tc 0.000 0.000 4.172

14
Lattice="4.520 0.000 -0.339 0.000 5.497 0.000 -1.552 0.000 9.650" Properties=species:S:1:pos:R:3 comment="Ti4Al2Au | the Alexandria database | PBE | relaxed" ef_ev_per_atom=-0.283 n_ef_per_ev_fu=5.720 vol_a3_per_cell=236.9 m_tot_mub_per_fu=0.00 pbc="T T T"
Ti 2.465 2.641 2.556
Ti 2.874 4.123 8.031
Ti 0.095 1.374 1.279
Ti 2.465 0.108 2.556
Ti 2.660 1.374 5.145
Ti 0.504 5.389 6.755
Ti 0.504 2.856 6.755
Ti 0.309 4.123 4.166
Al 2.275 4.123 0.025
Al 0.693 1.374 9.285
Al 0.299 1.374 3.974
Al 2.670 4.123 5.337
Au 0.115 4.123 1.523
Au 2.854 1.374 7.787

6
Lattice="-1.176 4.245 0.753 -2.756 -1.341 3.253 6.300 0.743 5.645" Properties=species:S:1:pos:R:3 comment="Tb3TmSb2 | the Alexandria database | PBE | relaxed" de_polymorph_mev_per_atom=0.0 formation_energy_uncorrected_mev_per_atom=-804 n_ef_per_ev_fu=4.405 vol_a3_per_cell=169.6 m_tot_mub_per_fu=0.00 pbc="T T T"
Tb 1.622 2.383 2.357
Tb 2.712 -0.188 5.291
Tb 0.000 0.000 0.000
Tm -1.966 1.452 2.003
Sb 3.955 2.659 4.447
Sb 0.379 -0.463 3.201

6
Lattice="5.364 0.000 0.001 0.000 5.365 0.001 0.007 0.011 7.556" Properties=species:S:1:pos:R:3 comment="Ca4AlCd | the Alexandria database | PBE | relaxed" de_polymorph_mev_per_atom=142.2 ef_ev_per_atom=-0.051 n_ef_per_ev_fu=9.388 vol_a3_per_cell=217.4 m_tot_mub_per_fu=0.03 pbc="T T T"
Ca 2.691 5.351 1.785
Ca 2.694 5.361 5.746
Ca 0.013 2.676 5.745
Ca 0.007 2.671 1.784
Al 2.696 2.679 7.543
Cd 0.010 5.356 3.766

4
Lattice="2.844 0.000 0.000 1.422 2.463 0.000 1.422 0.821 9.770" Properties=species:S:1:pos:R:3 comment="NbGa2Re | the Alexandria database | PBE | relaxed" de_polymorph_mev_per_atom=247.3 ef_ev_per_atom=0.334 n_ef_per_ev_fu=4.031 vol_a3_per_cell=68.4 m_tot_mub_per_fu=0.00 pbc="T T T"
Re 2.844 1.642 4.885
Nb 0.000 0.000 0.000
Ga 1.422 0.821 7.039
Ga 4.266 2.463 2.731

19
Lattice="-4.232 -3.704 2.524 -5.882 -1.029 -8.858 10.014 -6.428 4.818" Properties=species:S:1:pos:R:3 comment="La2Y5Ho12 | the Alexandria database | PBE | relaxed" de_polymorph_mev_per_atom=0.0 ef_ev_per_atom=0.027 n_ef_per_ev_fu=27.912 vol_a3_per_cell=606.9 m_tot_mub_per_fu=0.00 pbc="T T T"
La 0.756 -8.259 -2.074
La -0.856 -2.902 0.558
Y 1.652 -5.007 -0.857
Y -3.382 -2.136 -5.017
Y 5.007 -3.214 2.409
Y 3.282 -9.025 3.500
Y -1.752 -6.154 -0.659
Ho -1.708 -5.484 2.867
Ho 4.147 -7.110 -2.269
Ho -6.736 -3.268 -4.786
Ho -0.881 -3.571 -2.975
Ho -4.243 -4.703 -2.740
Ho -1.753 -6.799 -4.166
Ho 1.653 -4.362 2.650
Ho 0.781 -7.590 1.458
Ho 4.143 -6.458 1.224
Ho -4.246 -4.051 0.753
Ho 6.637 -7.893 3.270
Ho 1.608 -5.677 -4.384

4
Lattice="-0.790 2.881 -0.443 -1.192 -1.047 -4.685 -5.018 -1.140 1.531" Properties=species:S:1:pos:R:3 comment="BaAgOs2 | the Alexandria database | PBE | relaxed" de_polymorph_mev_per_atom=890.5 ef_ev_per_atom=1.244 n_ef_per_ev_fu=4.394 vol_a3_per_cell=80.2 m_tot_mub_per_fu=0.29 pbc="T T T"
Os 0.000 0.000 0.000
Os -0.991 0.917 -2.564
Ba -3.105 -1.093 -1.577
Ag -2.904 0.871 0.544

5
Lattice="4.954 0.000 0.000 0.000 4.954 0.000 0.000 0.000 4.954" Properties=species:S:1:pos:R:3 comment="YNb3Hg | the Alexandria database | PBE | relaxed" de_polymorph_mev_per_atom=399.8 ef_ev_per_atom=1.930 n_ef_per_ev_fu=3.630 vol_a3_per_cell=121.6 m_tot_mub_per_fu=0.00 pbc="T T T"
Y 0.000 0.000 0.000
Nb 0.000 2.477 0.000
Nb 0.000 0.000 2.477
Nb 2.477 0.000 0.000
Hg 2.477 2.477 2.477

8
Lattice="6.027 0.000 3.317 2.591 6.064 2.426 0.064 -0.334 7.018" Properties=species:S:1:pos:R:3 comment="La2TmPb | the Alexandria database | PBE | relaxed" de_polymorph_mev_per_atom=2.7 ef_ev_per_atom=-0.325 n_ef_per_ev_fu=5.065 vol_a3_per_cell=257.2 m_tot_mub_per_fu=0.02 pbc="T T T"
La 2.036 1.547 7.001
La 3.632 4.182 4.102
La 6.646 4.182 5.760
La 5.050 1.547 8.660
Tm 5.021 1.020 5.145
Tm 3.661 4.710 7.616
Pb 2.043 1.110 3.422
Pb 6.639 4.619 9.340

9
Lattice="-0.708 -3.466 1.521 7.802 -3.029 -3.269 -0.317 3.662 8.199" Properties=species:S:1:pos:R:3 comment="Pm3Pr3GaHg2 | the Alexandria database | PBE | relaxed" ef_ev_per_atom=-0.305 n_ef_per_ev_fu=11.178 vol_a3_per_cell=269.2 m_tot_mub_per_fu=0.00 pbc="T T T"
Pm 4.524 0.383 2.980
Pm -0.125 1.449 3.243
Pm 3.086 -1.198 -1.293
Pr 5.375 -3.957 -1.640
Pr -0.587 0.956 6.781
Pr 1.635 -1.565 2.070
Ga 0.000 0.000 0.000
Hg 4.741 -2.531 1.314
Hg 2.035 -0.301 5.136

5
Lattice="-3.699 1.821 2.541 -0.076 -3.988 2.747 3.126 2.058 3.074" Properties=species:S:1:pos:R:3 comment="RbGePt3 | the Alexandria database | PBE | relaxed" de_polymorph_mev_per_atom=404.1 ef_ev_per_atom=0.224 n_ef_per_ev_fu=7.196 vol_a3_per_cell=113.6 m_tot_mub_per_fu=0.00 pbc="T T T"
Ge 0.000 0.000 0.000
Rb -0.324 -0.054 4.181
Pt -0.038 -1.994 1.374
Pt 1.563 1.029 1.537
Pt -1.849 0.911 1.271